Entry 1:
The following is a DFT calculation (GGA-PBE) of an optimized crystal structure of ZrTi5Fe6.

POSCAR file:
```
ZrTi5Fe6
1.0
-1.347 3.804 -1.279
-4.587 -0.343 3.813
4.208 0.859 5.140
Fe Ti Zr
6 5 1
Cartesian
-1.762 3.468 5.172
0.035 0.852 2.502
-1.864 1.813 0.350
0.490 3.636 3.300
-2.217 0.683 4.374
0.137 2.507 7.324
-2.257 1.478 6.781
-1.787 2.652 2.770
0.060 1.668 4.904
-2.294 -0.172 1.906
0.529 2.842 0.893
0.000 0.000 0.000
```

Values from the calculation:
**Fermi-level density of states**: 0.285 states/eV per atom
**Energy of formation from the pure elements**: -0.347 eV/atom

***

Entry 2:
The following is a DFT calculation (GGA-PBE) of an optimized crystal structure of Li2Ca2AlIn5.

POSCAR file:
```
Li2Ca2AlIn5
1.0
-3.853 0.348 -0.245
0.326 -3.711 -10.400
-1.169 -10.357 3.660
In Li Ca Al
10 4 4 2
Cartesian
-2.511 -5.004 1.707
-1.848 -5.352 -9.209
-1.764 -1.682 -5.322
-2.848 -8.369 2.224
-2.138 -4.620 -3.612
-2.558 -9.100 -3.373
-2.479 -6.728 -1.247
-1.930 -1.146 -1.948
-2.217 -6.993 -5.738
-2.767 -12.574 -5.037
-0.820 -11.387 -3.288
-0.154 -7.141 -7.732
-0.689 -6.927 0.992
-0.023 -2.682 -3.452
0.013 -4.358 -6.399
-0.319 -3.997 -0.671
-0.856 -9.711 -0.341
-0.525 -10.072 -6.069
-0.422 -7.034 -3.370
0.000 0.000 0.000
```

Values from the calculation:
**Fermi-level density of states**: 0.255 states/eV per atom
**Energy of formation from the pure elements**: -0.252 eV/atom